#1
The following is a GGA-PBE calculation of a geometry-optimized Li2HgC2 structure, from the Alexandria database.

Unit cell a=7.225 b=7.225 c=3.449 alpha=90.00 beta=90.00 gamma=90.00
Fractional coordinates of all 10 atoms:
Li: 0.129 0.371 0.000
Li: 0.371 0.871 0.000
Li: 0.629 0.129 0.000
Li: 0.871 0.629 0.000
Hg: 0.000 0.000 0.000
Hg: 0.500 0.500 0.000
C: 0.062 0.562 0.500
C: 0.438 0.062 0.500
C: 0.562 0.938 0.500
C: 0.938 0.438 0.500

total magnetization	0.0000	μB per atom
space-group type	No. 127

#2
The following is a GGA-PBE calculation of a geometry-optimized Li2HgC2 structure, from the Alexandria database.

Unit cell a=8.511 b=8.511 c=8.511 alpha=162.09 beta=162.09 gamma=25.44
Fractional coordinates of all 5 atoms:
Li: 0.147 0.147 0.000
Li: 0.853 0.853 0.000
Hg: 0.500 0.500 0.000
C: 0.250 0.750 0.500
C: 0.750 0.250 0.500

total magnetization	0.0000	μB per atom
space-group type	No. 139

Short version: #2 is the least stable of them.

#1
The following is a GGA-PBE calculation of a geometry-optimized MgHg3C structure, from the Alexandria database.

Unit cell a=4.836 b=4.836 c=4.836 alpha=90.00 beta=90.00 gamma=90.00
Fractional coordinates of all 5 atoms:
Mg: 0.000 0.000 0.000
Hg: 0.000 0.500 0.500
Hg: 0.500 0.000 0.500
Hg: 0.500 0.500 0.000
C: 0.500 0.500 0.500

total magnetization	0.0000	μB per atom
space-group type	No. 221

#2
The following is a GGA-PBE calculation of a geometry-optimized MgHg3C structure, from the Alexandria database.

Unit cell a=5.529 b=5.529 c=5.529 alpha=90.00 beta=90.00 gamma=90.00
Fractional coordinates of all 5 atoms:
Mg: 0.000 0.000 0.000
Hg: 0.000 0.000 0.500
Hg: 0.000 0.500 0.000
Hg: 0.500 0.000 0.000
C: 0.500 0.500 0.500

total magnetization	0.5052	μB per atom
space-group type	No. 221

Short version: #2 is the least stable of them.

#1
The following is a GGA-PBE calculation of a geometry-optimized Mg2HgC structure, from the Alexandria database.

Unit cell a=4.550 b=4.550 c=4.550 alpha=60.00 beta=60.00 gamma=60.00
Fractional coordinates of all 4 atoms:
Mg: 0.250 0.250 0.250
Mg: 0.750 0.750 0.750
Hg: 0.000 0.000 0.000
C: 0.500 0.500 0.500

total magnetization	0.0000	μB per atom
space-group type	No. 225

#2
The following is a GGA-PBE calculation of a geometry-optimized Mg2HgC structure, from the Alexandria database.

Unit cell a=6.691 b=6.691 c=6.691 alpha=119.99 beta=119.99 gamma=90.01
Fractional coordinates of all 8 atoms:
Mg: 0.375 0.117 0.242
Mg: 0.867 0.625 0.742
Mg: 0.875 0.133 0.758
Mg: 0.883 0.125 0.258
Hg: 0.250 0.750 0.500
Hg: 0.500 0.500 0.000
C: 0.000 0.000 0.000
C: 0.750 0.250 0.500

total magnetization	0.0000	μB per atom
space-group type	No. 122

Short version: #1 is the least stable of them.

#1
The following is a GGA-PBE calculation of a geometry-optimized MgHgC2 structure, from the Alexandria database.

Unit cell a=4.198 b=4.198 c=4.198 alpha=60.00 beta=60.00 gamma=60.00
Fractional coordinates of all 4 atoms:
Mg: 0.000 0.000 0.000
Hg: 0.500 0.500 0.500
C: 0.250 0.250 0.250
C: 0.750 0.750 0.750

total magnetization	0.0000	μB per atom
space-group type	No. 225

#2
The following is a GGA-PBE calculation of a geometry-optimized MgHgC2 structure, from the Alexandria database.

Unit cell a=7.755 b=7.755 c=7.755 alpha=150.16 beta=150.16 gamma=42.70
Fractional coordinates of all 8 atoms:
Mg: 0.000 0.000 0.000
Mg: 0.750 0.250 0.500
Hg: 0.250 0.750 0.500
Hg: 0.500 0.500 0.000
C: 0.032 0.625 0.907
C: 0.375 0.282 0.407
C: 0.718 0.125 0.093
C: 0.875 0.968 0.593

total magnetization	0.0000	μB per atom
space-group type	No. 122

Short version: #1 is the least stable of them.

#1
The following is a GGA-PBE calculation of a geometry-optimized Hg2CN2 structure, from the Alexandria database.

Unit cell a=5.925 b=5.925 c=4.097 alpha=90.00 beta=90.00 gamma=90.00
Fractional coordinates of all 10 atoms:
Hg: 0.172 0.328 0.000
Hg: 0.328 0.828 0.000
Hg: 0.672 0.172 0.000
Hg: 0.828 0.672 0.000
C: 0.000 0.000 0.500
C: 0.500 0.500 0.500
N: 0.248 0.252 0.500
N: 0.252 0.752 0.500
N: 0.748 0.248 0.500
N: 0.752 0.748 0.500

total magnetization	0.0000	μB per atom
space-group type	No. 127

#2
The following is a GGA-PBE calculation of a geometry-optimized Hg2CN2 structure, from the Alexandria database.

Unit cell a=5.532 b=5.532 c=5.532 alpha=121.54 beta=121.54 gamma=87.35
Fractional coordinates of all 5 atoms:
Hg: 0.250 0.750 0.500
Hg: 0.750 0.250 0.500
C: 0.000 0.000 0.000
N: 0.430 0.430 0.000
N: 0.570 0.570 0.000

total magnetization	0.4000	μB per atom
space-group type	No. 139

Short version: #1 is the least stable of them.

#1
The following is a GGA-PBE calculation of a geometry-optimized HgC3N structure, from the Alexandria database.

Unit cell a=4.279 b=4.279 c=4.279 alpha=90.00 beta=90.00 gamma=90.00
Fractional coordinates of all 5 atoms:
Hg: 0.000 0.000 0.000
C: 0.000 0.000 0.500
C: 0.000 0.500 0.000
C: 0.500 0.000 0.000
N: 0.500 0.500 0.500

total magnetization	0.0000	μB per atom
space-group type	No. 221

#2
The following is a GGA-PBE calculation of a geometry-optimized HgC3N structure, from the Alexandria database.

Unit cell a=3.685 b=3.685 c=3.685 alpha=90.00 beta=90.00 gamma=90.00
Fractional coordinates of all 5 atoms:
Hg: 0.000 0.000 0.000
C: 0.000 0.500 0.500
C: 0.500 0.000 0.500
C: 0.500 0.500 0.000
N: 0.500 0.500 0.500

total magnetization	0.0000	μB per atom
space-group type	No. 221

Short version: #1 is the least stable of them.